Entry 1:
CsZrHg: relaxed, PBE-GGA.

a = 3.675 Å, b = 3.676 Å, c = 15.487 Å
α = 91.42°, β = 93.76°, γ = 90.01°
Space group P-1 (No. 2)
Inequivalent atoms, fractional coordinates:
Cs: 0.157 0.215 0.158
Zr: 0.234 0.244 0.440
Hg: 0.294 0.266 0.662

Results
- E: -3.173 eV/atom
- Excess energy over the best structure of this formula in the dataset: 0 meV per atom

---

Entry 2:
CsZr3Hg: relaxed, PBE-GGA.

a = 5.257 Å, b = 5.257 Å, c = 5.257 Å
α = 90.00°, β = 90.00°, γ = 90.00°
Space group Pm-3m (No. 221)
Inequivalent atoms, fractional coordinates:
Cs: 0.000 0.000 0.000
Zr: 0.000 0.000 0.500
Hg: 0.500 0.500 0.500

Results
- E: -3.451 eV/atom
- Excess energy over the best structure of this formula in the dataset: 717 meV per atom

---

Entry 3:
CsZr3Hg: relaxed, PBE-GGA.

a = 5.491 Å, b = 5.491 Å, c = 5.491 Å
α = 90.00°, β = 90.00°, γ = 90.00°
Space group Pm-3m (No. 221)
Inequivalent atoms, fractional coordinates:
Cs: 0.000 0.000 0.000
Zr: 0.000 0.500 0.500
Hg: 0.500 0.500 0.500

Results
- E: -4.167 eV/atom
- Excess energy over the best structure of this formula in the dataset: 0 meV per atom

---

Entry 4:
CsZrHg3: relaxed, PBE-GGA.

a = 5.789 Å, b = 5.789 Å, c = 5.789 Å
α = 90.00°, β = 90.00°, γ = 90.00°
Space group Pm-3m (No. 221)
Inequivalent atoms, fractional coordinates:
Cs: 0.000 0.000 0.000
Zr: 0.500 0.500 0.500
Hg: 0.000 0.500 0.500

Results
- E: -1.920 eV/atom

---

Entry 5:
CsHo: relaxed, PBE-GGA.

a = 3.7847 Å, b = 3.7847 Å, c = 7.4667 Å
α = 90.00°, β = 90.00°, γ = 120.00°
Space group P-6m2 (No. 187)
Inequivalent atoms, fractional coordinates:
Cs: 0.0000 0.0000 0.0000
Ho: 0.6667 0.3333 0.5000

Results
- E: -1.981 eV/atom

---

Entry 6:
CsHo3: relaxed, PBE-GGA.

a = 5.284 Å, b = 5.284 Å, c = 5.284 Å
α = 90.00°, β = 90.00°, γ = 90.00°
Space group Pm-3m (No. 221)
Inequivalent atoms, fractional coordinates:
Cs: 0.000 0.000 0.000
Ho: 0.000 0.500 0.500

Results
- E: -2.934 eV/atom

---

Entry 7:
Cs4HoI7: relaxed, PBE-GGA.

a = 19.483 Å, b = 6.188 Å, c = 13.162 Å
α = 90.00°, β = 122.09°, γ = 90.00°
Space group C2/m (No. 12)
Inequivalent atoms, fractional coordinates:
Cs: 0.070 0.000 0.258
Cs: 0.223 0.000 0.827
Ho: 0.000 0.500 0.500
I: 0.000 0.000 0.500
I: 0.069 0.500 0.764
I: 0.142 0.000 0.044
I: 0.166 0.500 0.538

Results
- E: -3.057 eV/atom

---

Entry 8:
Cs2HoI4: relaxed, PBE-GGA.

a = 6.033 Å, b = 6.033 Å, c = 19.348 Å
α = 90.00°, β = 90.00°, γ = 90.00°
Space group I4/mmm (No. 139)
Inequivalent atoms, fractional coordinates:
Cs: 0.000 0.000 0.139
Ho: 0.000 0.000 0.500
I: 0.000 0.000 0.340
I: 0.000 0.500 0.000

Results
- E: -3.108 eV/atom

---

Entry 9:
Cs2HoI6: relaxed, PBE-GGA.

a = 4.791 Å, b = 17.075 Å, c = 9.837 Å
α = 90.00°, β = 90.00°, γ = 90.00°
Space group Amm2 (No. 38)
Inequivalent atoms, fractional coordinates:
Cs: 0.000 0.167 0.000
Ho: 0.500 0.000 0.501
I: 0.000 0.000 0.723
I: 0.000 0.111 0.390
I: 0.500 0.000 0.156
I: 0.500 0.173 0.672

Results
- E: -2.890 eV/atom

---

Entry 10:
Cs2HoI6: relaxed, PBE-GGA.

a = 8.4254 Å, b = 8.4254 Å, c = 14.1896 Å
α = 90.00°, β = 90.00°, γ = 120.00°
Space group P6_3mc (No. 186)
Inequivalent atoms, fractional coordinates:
Cs: 0.0000 0.0000 0.0000
Cs: 0.3333 0.6667 0.2482
Ho: 0.3333 0.6667 0.6231
I: 0.0006 0.5003 0.4977
I: 0.1637 0.3274 0.7441

Results
- E: -2.997 eV/atom

---

Entry 11:
Cs6Ho3I14: relaxed, PBE-GGA.

a = 13.9919 Å, b = 13.9919 Å, c = 7.5909 Å
α = 90.00°, β = 90.00°, γ = 120.00°
Space group P3 (No. 143)
Inequivalent atoms, fractional coordinates:
Cs: 0.0248 0.4608 0.0000
Cs: 0.3061 0.2070 0.4877
Ho: 0.0000 0.0000 0.0697
Ho: 0.3333 0.6667 0.5810
Ho: 0.6667 0.3333 0.7311
I: 0.0000 0.0000 0.6863
I: 0.0746 0.2221 0.2001
I: 0.1887 0.7446 0.7093
I: 0.3333 0.6667 0.1975
I: 0.4588 0.2598 0.9553
I: 0.5308 0.1251 0.5095

Results
- E: -3.164 eV/atom

---

Entry 12:
Cs2HoI5: relaxed, PBE-GGA.

a = 10.974 Å, b = 8.497 Å, c = 17.397 Å
α = 90.00°, β = 90.00°, γ = 90.00°
Space group Pnma (No. 62)
Inequivalent atoms, fractional coordinates:
Cs: 0.043 0.250 0.199
Cs: 0.179 0.750 0.414
Ho: 0.188 0.750 0.061
I: 0.000 0.000 0.000
I: 0.036 0.750 0.204
I: 0.151 0.506 0.612
I: 0.216 0.250 0.397

Results
- E: -3.248 eV/atom
- Excess energy over the best structure of this formula in the dataset: 0 meV per atom

---

Entry 13:
Cs2HoI5: relaxed, PBE-GGA.

a = 9.098 Å, b = 9.098 Å, c = 10.915 Å
α = 90.00°, β = 90.00°, γ = 90.00°
Space group I4mm (No. 107)
Inequivalent atoms, fractional coordinates:
Cs: 0.000 0.500 0.000
Ho: 0.000 0.000 0.209
I: 0.000 0.000 0.950
I: 0.228 0.228 0.259

Results
- E: -3.211 eV/atom
- Excess energy over the best structure of this formula in the dataset: 37 meV per atom

---

Entry 14:
CsHoI3: relaxed, PBE-GGA.

a = 6.059 Å, b = 6.059 Å, c = 6.059 Å
α = 90.00°, β = 90.00°, γ = 90.00°
Space group Pm-3m (No. 221)
Inequivalent atoms, fractional coordinates:
Cs: 0.000 0.000 0.000
Ho: 0.500 0.500 0.500
I: 0.000 0.500 0.500

Results
- E: -3.249 eV/atom

---

Entry 15:
Cs3HoI8: relaxed, PBE-GGA.

a = 8.650 Å, b = 8.650 Å, c = 17.526 Å
α = 90.00°, β = 90.00°, γ = 90.00°
Space group I4/mmm (No. 139)
Inequivalent atoms, fractional coordinates:
Cs: 0.000 0.000 0.000
Cs: 0.000 0.500 0.250
Ho: 0.000 0.000 0.500
I: 0.214 0.214 0.393

Results
- E: -2.698 eV/atom

---

Entry 16:
CsHoIn2I6: relaxed, PBE-GGA.

a = 8.679 Å, b = 8.686 Å, c = 9.242 Å
α = 90.01°, β = 118.00°, γ = 119.94°
Space group P1 (No. 1)
Inequivalent atoms, fractional coordinates:
Cs: 0.000 0.000 0.000
Ho: 0.973 0.486 0.459
In: 0.593 0.296 0.889
In: 0.623 0.812 0.434
I: 0.105 0.446 0.213
I: 0.112 0.264 0.671
I: 0.407 0.847 0.671
I: 0.555 0.110 0.213
I: 0.767 0.658 0.212
I: 0.824 0.560 0.671

Results
- E: -3.068 eV/atom

---

Entry 17:
Cs2KHoI6: relaxed, PBE-GGA.

a = 8.756 Å, b = 12.833 Å, c = 9.582 Å
α = 90.00°, β = 90.00°, γ = 90.00°
Space group Pmmn (No. 59, origin choice 2)
Inequivalent atoms, fractional coordinates:
Cs: 0.250 0.033 0.197
K: 0.250 0.250 0.711
Ho: 0.250 0.750 0.783
I: 0.001 0.250 0.431
I: 0.012 0.750 0.014
I: 0.250 0.515 0.785

Results
- E: -3.150 eV/atom

---

Entry 18:
CsLi2HoI6: relaxed, PBE-GGA.

a = 7.543 Å, b = 7.544 Å, c = 10.304 Å
α = 89.97°, β = 68.55°, γ = 60.01°
Space group P1 (No. 1)
Inequivalent atoms, fractional coordinates:
Cs: 0.000 0.000 0.000
Li: 0.335 0.833 0.497
Li: 0.664 0.169 0.503
Ho: 0.999 0.501 0.500
I: 0.124 0.771 0.318
I: 0.212 0.558 0.683
I: 0.451 0.107 0.318
I: 0.548 0.895 0.683
I: 0.787 0.444 0.318
I: 0.874 0.231 0.683

Results
- E: -3.212 eV/atom

---

Entry 19:
CsHoMnI6: relaxed, PBE-GGA.

a = 7.7112 Å, b = 7.7112 Å, c = 8.7743 Å
α = 90.00°, β = 90.00°, γ = 120.00°
Space group P312 (No. 149)
Inequivalent atoms, fractional coordinates:
Cs: 0.0000 0.0000 0.0000
Ho: 0.6667 0.3333 0.5000
Mn: 0.3333 0.6667 0.5000
I: 0.0103 0.3762 0.3048

Results
- E: -3.765 eV/atom

---

Entry 20:
CsNaHoI5: relaxed, PBE-GGA.

a = 10.139 Å, b = 14.675 Å, c = 11.695 Å
α = 90.00°, β = 110.13°, γ = 90.00°
Space group C2/c (No. 15)
Inequivalent atoms, fractional coordinates:
Cs: 0.000 0.161 0.250
Na: 0.000 0.186 0.750
Ho: 0.000 0.500 0.000
I: 0.000 0.437 0.250
I: 0.095 0.308 0.581
I: 0.197 0.055 0.941

Results
- E: -3.194 eV/atom

---

no.,mass density (g/cm3)
1,6.76
2,6.94
3,6.09
4,7.07
5,5.34
6,7.06
7,3.91
8,4.42
9,4.92
10,4.54
11,3.96
12,4.36
13,3.92
14,5.07
15,4.00
16,4.22
17,3.80
18,3.87
19,4.09
20,3.88